Density functional theory data (PBE) for BeTl2Ru after structural relaxation.

Output
E_form = 0.733 eV per atom
Magnetic moment = 0.00 Bohr magnetons per cell
Raw total energy = -29.6 eV for the cell shown
Crystal system = orthorhombic
Space group = Cmmm

a b c (Å): 5.990 7.297 3.314
angles (deg): 90.00 90.00 90.00
Fractional coordinates of all 8 atoms:
Be (0.000, 0.000, 0.000)
Be (0.500, 0.500, 0.000)
Tl (0.250, 0.250, 0.500)
Tl (0.250, 0.750, 0.500)
Tl (0.750, 0.250, 0.500)
Tl (0.750, 0.750, 0.500)
Ru (0.000, 0.500, 0.000)
Ru (0.500, 0.000, 0.000)

Density functional theory data (PBE) for BeTl3Ru after structural relaxation.

Output
E_form = 0.789 eV per atom
Magnetic moment = 0.00 Bohr magnetons per cell
Raw total energy = -16.2 eV for the cell shown
Crystal system = cubic
Space group = Pm-3m

a b c (Å): 5.302 5.302 5.302
angles (deg): 90.00 90.00 90.00
Fractional coordinates of all 5 atoms:
Be (0.000, 0.000, 0.000)
Tl (0.000, 0.500, 0.500)
Tl (0.500, 0.000, 0.500)
Tl (0.500, 0.500, 0.000)
Ru (0.500, 0.500, 0.500)

Density functional theory data (PBE) for BeTl2Ru after structural relaxation.

Output
E_form = 0.924 eV per atom
Magnetic moment = 2.51 Bohr magnetons per cell
Raw total energy = -56.1 eV for the cell shown
Crystal system = cubic
Space group = F-43m

a b c (Å): 6.715 6.715 6.715
angles (deg): 90.00 90.00 90.00
Fractional coordinates of all 16 atoms:
Be (0.000, 0.000, 0.000)
Be (0.000, 0.500, 0.500)
Be (0.500, 0.000, 0.500)
Be (0.500, 0.500, 0.000)
Tl (0.000, 0.000, 0.500)
Tl (0.000, 0.500, 0.000)
Tl (0.250, 0.250, 0.750)
Tl (0.250, 0.750, 0.250)
Tl (0.500, 0.000, 0.000)
Tl (0.500, 0.500, 0.500)
Tl (0.750, 0.250, 0.250)
Tl (0.750, 0.750, 0.750)
Ru (0.250, 0.250, 0.250)
Ru (0.250, 0.750, 0.750)
Ru (0.750, 0.250, 0.750)
Ru (0.750, 0.750, 0.250)

Density functional theory data (PBE) for Be3TlRu after structural relaxation.

Output
E_form = 0.564 eV per atom
Magnetic moment = 0.00 Bohr magnetons per cell
Raw total energy = -20.0 eV for the cell shown
Crystal system = cubic
Space group = Pm-3m

a b c (Å): 4.293 4.293 4.293
angles (deg): 90.00 90.00 90.00
Fractional coordinates of all 5 atoms:
Be (0.000, 0.000, 0.500)
Be (0.000, 0.500, 0.000)
Be (0.500, 0.000, 0.000)
Tl (0.500, 0.500, 0.500)
Ru (0.000, 0.000, 0.000)

Density functional theory data (PBE) for Be3TlRu after structural relaxation.

Output
E_form = 1.640 eV per atom
Magnetic moment = 1.70 Bohr magnetons per cell
Raw total energy = -14.6 eV for the cell shown
Crystal system = cubic
Space group = Pm-3m

a b c (Å): 4.396 4.396 4.396
angles (deg): 90.00 90.00 90.00
Fractional coordinates of all 5 atoms:
Be (0.000, 0.000, 0.500)
Be (0.000, 0.500, 0.000)
Be (0.500, 0.000, 0.000)
Tl (0.000, 0.000, 0.000)
Ru (0.500, 0.500, 0.500)

Density functional theory data (PBE) for BeTl3Ru after structural relaxation.

Output
E_form = 1.030 eV per atom
Magnetic moment = 2.27 Bohr magnetons per cell
Raw total energy = -15.0 eV for the cell shown
Crystal system = cubic
Space group = Pm-3m

a b c (Å): 4.899 4.899 4.899
angles (deg): 90.00 90.00 90.00
Fractional coordinates of all 5 atoms:
Be (0.000, 0.000, 0.000)
Tl (0.000, 0.000, 0.500)
Tl (0.000, 0.500, 0.000)
Tl (0.500, 0.000, 0.000)
Ru (0.500, 0.500, 0.500)

Density functional theory data (PBE) for BeTl2Ru after structural relaxation.

Output
E_form = 0.684 eV per atom
Magnetic moment = 0.13 Bohr magnetons per cell
Raw total energy = -15.0 eV for the cell shown
Crystal system = tetragonal
Space group = P4/mmm

a b c (Å): 3.489 3.489 5.912
angles (deg): 90.00 90.00 90.00
Fractional coordinates of all 4 atoms:
Be (0.000, 0.000, 0.000)
Tl (0.500, 0.500, 0.245)
Tl (0.500, 0.500, 0.755)
Ru (0.000, 0.000, 0.500)

Density functional theory data (PBE) for Tm2BeRu after structural relaxation.

Output
E_form = -0.225 eV per atom
Magnetic moment = 0.00 Bohr magnetons per cell
Raw total energy = -22.8 eV for the cell shown
Crystal system = tetragonal
Space group = P4/mmm

a b c (Å): 3.392 3.392 6.627
angles (deg): 90.00 90.00 90.00
Fractional coordinates of all 4 atoms:
Tm (0.000, 0.000, 0.246)
Tm (0.000, 0.000, 0.754)
Be (0.500, 0.500, 0.500)
Ru (0.500, 0.500, 0.000)